No. 1
A plane-wave DFT calculation with PBE was carried out for a relaxed Sr2Li3InSb4 crystal.

Output
- DFT total energy (eV for the cell shown) = -34.94
- calculated volume (Å³/cell) = 269.7

a b c (Å): 4.849 4.849 11.469
angles (deg): 90.00 90.00 90.00
Space group P-4m2 (No. 115)
Unique sites:
Sr 0.000 0.500 0.228 x2
Li 0.000 0.500 0.879 x2
Li 0.500 0.500 0.500 x1
In 0.000 0.000 0.500 x1
Sb 0.000 0.000 0.000 x1
Sb 0.000 0.500 0.644 x2
Sb 0.500 0.500 0.000 x1

No. 2
A plane-wave DFT calculation with PBE was carried out for a relaxed SrBeIr2 crystal.

Output
- DFT total energy (eV for the cell shown) = -44.97
- energy of formation from the pure elements (eV/atom) = 0.16
- calculated volume (Å³/cell) = 132.3

a b c (Å): 2.890 5.077 9.014
angles (deg): 90.00 90.00 90.00
Space group Immm (No. 71)
Unique sites:
Sr 0.000 0.000 0.000 x2
Be 0.000 0.000 0.500 x2
Ir 0.000 0.500 0.202 x4

No. 3
A plane-wave DFT calculation with PBE was carried out for a relaxed Ba2AlFe crystal.

Output
- DFT total energy (eV for the cell shown) = -30.15
- energy of formation from the pure elements (eV/atom) = 0.24
- calculated volume (Å³/cell) = 283.5

a b c (Å): 4.655 5.161 11.804
angles (deg): 90.00 90.00 90.00
Space group Amm2 (No. 38)
Unique sites:
Ba 0.000 0.000 0.000 x2
Ba 0.500 0.000 0.290 x2
Al 0.500 0.000 0.601 x2
Fe 0.000 0.000 0.675 x2

No. 4
A plane-wave DFT calculation with PBE was carried out for a relaxed LaO crystal.

Output
- DFT total energy (eV for the cell shown) = -30.83
- calculated volume (Å³/cell) = 81.8

a b c (Å): 4.2239 4.2239 5.2918
angles (deg): 90.00 90.00 120.00
Space group P6_3/mmc (No. 194)
Unique sites:
La 0.3333 0.6667 0.2500 x2
O 0.3333 0.6667 0.7500 x2

No. 5
A plane-wave DFT calculation with PBE was carried out for a relaxed Ac3NdAs4 crystal.

Output
- DFT total energy (eV for the cell shown) = -94.95
- energy of formation from the pure elements (eV/atom) = -1.47
- relative energy among the computed polymorphs (meV/atom) = 0
- calculated volume (Å³/cell) = 510.3

a b c (Å): 8.974 12.676 4.486
angles (deg): 90.00 90.00 90.00
Space group Cmmm (No. 65)
Unique sites:
Ac 0.000 0.000 0.000 x2
Ac 0.250 0.250 0.500 x4
Nd 0.000 0.500 0.000 x2
As 0.000 0.255 0.000 x4
As 0.241 0.500 0.500 x4

No. 6
A plane-wave DFT calculation with PBE was carried out for a relaxed AgSeS2 crystal.

Output
- DFT total energy (eV for the cell shown) = -28.48
- calculated volume (Å³/cell) = 224.5

a b c (Å): 5.167 6.057 8.221
angles (deg): 70.03 89.81 69.50
Space group P-1 (No. 2)
Unique sites:
Ag 0.243 0.018 0.091 x2
Se 0.382 0.768 0.874 x2
S 0.192 0.777 0.418 x2
S 0.214 0.084 0.603 x2

No. 7
A plane-wave DFT calculation with PBE was carried out for a relaxed TbTiIr2 crystal.

Output
- DFT total energy (eV for the cell shown) = -33.38
- energy of formation from the pure elements (eV/atom) = -0.78
- relative energy among the computed polymorphs (meV/atom) = 0
- calculated volume (Å³/cell) = 70.1

a b c (Å): 3.100 3.100 7.292
angles (deg): 90.00 90.00 90.00
Space group P4/mmm (No. 123)
Unique sites:
Tb 0.000 0.000 0.000 x1
Ti 0.000 0.000 0.500 x1
Ir 0.500 0.500 0.291 x2

No. 8
A plane-wave DFT calculation with PBE was carried out for a relaxed TiBi2N crystal.

Output
- DFT total energy (eV for the cell shown) = -83.58
- calculated volume (Å³/cell) = 361.7

a b c (Å): 6.709 6.709 8.036
angles (deg): 90.00 90.00 90.00
Space group I-42d (No. 122)
Unique sites:
Ti 0.000 0.000 0.000 x4
Bi 0.185 0.250 0.625 x8
N 0.000 0.000 0.500 x4

No. 9
A plane-wave DFT calculation with PBE was carried out for a relaxed CoHgSN2 crystal.

Output
- DFT total energy (eV for the cell shown) = -23.12
- relative energy among the computed polymorphs (meV/atom) = 0
- calculated volume (Å³/cell) = 89.3

a b c (Å): 3.560 3.560 7.047
angles (deg): 90.00 90.00 90.00
Space group P4/mmm (No. 123)
Unique sites:
Co 0.000 0.000 0.000 x1
Hg 0.500 0.500 0.500 x1
S 0.000 0.000 0.500 x1
N 0.000 0.500 0.000 x2

No. 10
A plane-wave DFT calculation with PBE was carried out for a relaxed Nd3Dy3Tm8 crystal.

Output
- DFT total energy (eV for the cell shown) = -124.65
- energy of formation from the pure elements (eV/atom) = 0.11
- calculated volume (Å³/cell) = 899.6

a b c (Å): 5.601 10.719 14.984
angles (deg): 90.00 90.00 90.00
Space group Immm (No. 71)
Unique sites:
Nd 0.000 0.000 0.000 x2
Nd 0.000 0.500 0.315 x4
Dy 0.000 0.000 0.500 x2
Dy 0.000 0.297 0.500 x4
Tm 0.000 0.161 0.280 x8
Tm 0.000 0.342 0.103 x8

No. 11
A plane-wave DFT calculation with PBE was carried out for a relaxed Fe2SiNCl crystal.

Output
- DFT total energy (eV for the cell shown) = -23.33
- calculated volume (Å³/cell) = 93.0

a b c (Å): 4.571 4.571 4.452
angles (deg): 90.00 90.00 90.00
Space group P4/mmm (No. 123)
Unique sites:
Fe 0.000 0.500 0.000 x2
Si 0.000 0.000 0.000 x1
N 0.500 0.500 0.500 x1
Cl 0.000 0.000 0.500 x1

No. 12
A plane-wave DFT calculation with PBE was carried out for a relaxed Pu2Np3NbN6 crystal.

Output
- DFT total energy (eV for the cell shown) = -283.23
- calculated volume (Å³/cell) = 332.6

a b c (Å): 5.880 10.186 5.886
angles (deg): 90.00 109.36 90.00
Space group C2/m (No. 12)
Unique sites:
Pu 0.000 0.167 0.000 x4
Np 0.000 0.000 0.500 x2
Np 0.000 0.334 0.500 x4
Nb 0.000 0.500 0.000 x2
N 0.237 0.500 0.750 x4
N 0.242 0.340 0.247 x8

No. 13
A plane-wave DFT calculation with PBE was carried out for a relaxed BeTlPN2 crystal.

Output
- DFT total energy (eV for the cell shown) = -20.97
- calculated volume (Å³/cell) = 72.9

a b c (Å): 3.603 3.603 5.620
angles (deg): 90.00 90.00 90.00
Space group P4/mmm (No. 123)
Unique sites:
Be 0.000 0.000 0.000 x1
Tl 0.000 0.000 0.500 x1
P 0.500 0.500 0.500 x1
N 0.000 0.500 0.000 x2

No. 14
A plane-wave DFT calculation with PBE was carried out for a relaxed ZnHgRu crystal.

Output
- DFT total energy (eV for the cell shown) = -36.93
- energy of formation from the pure elements (eV/atom) = 0.54
- relative energy among the computed polymorphs (meV/atom) = 228
- calculated volume (Å³/cell) = 217.7

a b c (Å): 6.015 6.015 6.015
angles (deg): 90.00 90.00 90.00
Space group F-43m (No. 216)
Unique sites:
Zn 0.000 0.000 0.000 x4
Hg 0.250 0.250 0.250 x4
Ru 0.250 0.250 0.750 x4